# 1
First-principles (PBE) data for a relaxed CrCdAg2 crystal, as listed in Alexandria via LeMat-Bulk.

Cell: 5.108 5.108 5.074 Å, 79.14 79.14 34.40°
Last column: magnetic moment on the atom in μB.
Sites, in units of the cell vectors:
1 Ag 0.996 0.996 0.007  0.04
2 Ag 0.504 0.504 0.493  0.04
3 Cd 0.750 0.750 0.750  0.00
4 Cr 0.250 0.250 0.250  3.72

## Properties
Space-group type = No. 12
DFT formation energy = 0.261 eV per atom

***

# 2
First-principles (PBE) data for a relaxed In2NiTePb crystal, as listed in Alexandria via LeMat-Bulk.

Cell: 5.061 5.061 5.219 Å, 90.00 90.00 90.00°
Sites, in units of the cell vectors:
1 Pb 0.000 0.000 0.500
2 Ni 0.000 0.000 0.000
3 Te 0.500 0.500 0.500
4 In 0.000 0.500 0.000
5 In 0.500 0.000 0.000

## Properties
Raw formation energy = -0.13 eV/atom
Space-group type = No. 123

***

# 3
First-principles (PBE) data for a relaxed Re2RuAu crystal, as listed in Alexandria via LeMat-Bulk.

Cell: 9.319 9.319 9.319 Å, 17.18 17.18 17.18°
Sites, in units of the cell vectors:
1 Au 0.750 0.750 0.750
2 Re 0.994 0.994 0.994
3 Re 0.506 0.506 0.506
4 Ru 0.250 0.250 0.250

## Properties
Space-group type = No. 166
DFT formation energy = 0.276 eV per atom

***

# 4
First-principles (PBE) data for a relaxed DyZr2Sc3 crystal, as listed in Alexandria via LeMat-Bulk.

Cell: 3.201 8.928 10.525 Å, 86.32 90.00 90.00°
Sites, in units of the cell vectors:
1 Dy 0.250 0.755 0.356
2 Dy 0.750 0.245 0.644
3 Zr 0.250 0.449 0.874
4 Zr 0.750 0.551 0.126
5 Zr 0.750 0.089 0.377
6 Zr 0.250 0.911 0.623
7 Sc 0.750 0.926 0.121
8 Sc 0.250 0.074 0.879
9 Sc 0.750 0.762 0.861
10 Sc 0.250 0.238 0.139
11 Sc 0.250 0.400 0.383
12 Sc 0.750 0.600 0.617

## Properties
Space-group type = No. 11
DFT formation energy = 0.105 eV per atom

***

# 5
First-principles (PBE) data for a relaxed YInBr2 crystal, as listed in Alexandria via LeMat-Bulk.

Cell: 5.435 5.435 5.435 Å, 60.00 60.00 60.00°
Last column: magnetic moment on the atom in μB.
Sites, in units of the cell vectors:
1 Y 0.750 0.750 0.750  0.50
2 Br 0.000 0.000 0.000  0.04
3 Br 0.250 0.250 0.250  0.04
4 In 0.500 0.500 0.500  0.22

## Properties
Raw formation energy = -0.38 eV/atom
Space-group type = No. 216

***

# 6
First-principles (PBE) data for a relaxed TeIrN2 crystal, as listed in Alexandria via LeMat-Bulk.

Cell: 5.614 5.614 5.708 Å, 60.54 60.54 90.00°
Sites, in units of the cell vectors:
1 Ir 0.000 0.000 0.000
2 Ir 0.750 0.250 0.500
3 Te 0.500 0.500 0.000
4 Te 0.250 0.750 0.500
5 N 0.722 0.125 0.250
6 N 0.028 0.625 0.250
7 N 0.375 0.278 0.750
8 N 0.875 0.972 0.750

## Properties
Raw formation energy = 1.07 eV/atom
Space-group type = No. 122

***

# 7
First-principles (PBE) data for a relaxed LaPuTlGa crystal, as listed in Alexandria via LeMat-Bulk.

Cell: 5.399 5.399 5.399 Å, 60.00 60.00 60.00°
Last column: magnetic moment on the atom in μB.
Sites, in units of the cell vectors:
1 Tl 0.250 0.250 0.250  0.00
2 La 0.000 0.000 0.000  0.14
3 Ga 0.750 0.750 0.750  -0.02
4 Pu 0.500 0.500 0.500  5.49

## Properties
Space-group type = No. 216
DFT formation energy = -0.239 eV per atom

***

# 8
First-principles (PBE) data for a relaxed Ca2In2Pb7 crystal, as listed in Alexandria via LeMat-Bulk.

Cell: 6.774 7.787 6.774 Å, 101.25 98.18 101.25°
Sites, in units of the cell vectors:
1 Ca 0.597 0.314 0.597
2 Ca 0.403 0.686 0.403
3 In 0.731 0.000 0.269
4 In 0.269 0.000 0.731
5 Pb 0.097 0.327 0.534
6 Pb 0.466 0.673 0.903
7 Pb 0.903 0.673 0.466
8 Pb 0.534 0.327 0.097
9 Pb 0.000 0.500 0.000
10 Pb 0.187 0.974 0.187
11 Pb 0.813 0.026 0.813

## Properties
Space-group type = No. 12
DFT formation energy = -0.146 eV per atom

***

# 9
First-principles (PBE) data for a relaxed CaFe2Ru2 crystal, as listed in Alexandria via LeMat-Bulk.

Cell: 4.118 4.118 5.576 Å, 68.33 68.33 90.00°
Last column: magnetic moment on the atom in μB.
Sites, in units of the cell vectors:
1 Ru 0.750 0.250 0.500  0.08
2 Ru 0.250 0.750 0.500  0.08
3 Ca 0.000 0.000 0.000  -0.01
4 Fe 0.382 0.382 0.236  1.05
5 Fe 0.618 0.618 0.764  1.05

## Properties
Space-group type = No. 139
DFT formation energy = 0.222 eV per atom

***

# 10
First-principles (PBE) data for a relaxed SiRhW4 crystal, as listed in Alexandria via LeMat-Bulk.

Cell: 5.223 5.223 5.223 Å, 60.00 60.00 60.00°
Sites, in units of the cell vectors:
1 Si 0.000 0.000 0.000
2 Rh 0.750 0.750 0.750
3 W 0.877 0.374 0.374
4 W 0.374 0.374 0.877
5 W 0.374 0.877 0.374
6 W 0.374 0.374 0.374

## Properties
Raw formation energy = 0.68 eV/atom
Space-group type = No. 216

***

# 11
First-principles (PBE) data for a relaxed Nd2Sn3Pb3 crystal, as listed in Alexandria via LeMat-Bulk.

Cell: 4.874 4.860 9.690 Å, 90.00 90.00 90.00°
Sites, in units of the cell vectors:
1 Nd 0.000 0.000 0.743
2 Nd 0.000 0.000 0.257
3 Sn 0.500 0.000 0.500
4 Sn 0.000 0.500 0.000
5 Sn 0.000 0.500 0.500
6 Pb 0.500 0.500 0.748
7 Pb 0.500 0.500 0.252
8 Pb 0.500 0.000 0.000

## Properties
Space-group type = No. 47
DFT formation energy = -0.428 eV per atom

***

# 12
First-principles (PBE) data for a relaxed LaNd5DyTm2 crystal, as listed in Alexandria via LeMat-Bulk.

Cell: 5.718 10.577 10.663 Å, 90.00 90.00 105.68°
Sites, in units of the cell vectors:
1 La 0.584 0.169 0.950
2 La 0.416 0.831 0.450
3 Nd 0.385 0.770 0.024
4 Nd 0.720 0.440 0.815
5 Nd 0.479 0.958 0.741
6 Nd 0.296 0.592 0.707
7 Nd 0.983 0.967 0.523
8 Nd 0.615 0.230 0.524
9 Nd 0.280 0.560 0.315
10 Nd 0.521 0.042 0.241
11 Nd 0.704 0.408 0.207
12 Nd 0.017 0.033 0.023
13 Dy 0.802 0.604 0.512
14 Dy 0.198 0.396 0.012
15 Tm 0.884 0.769 0.819
16 Tm 0.113 0.227 0.735
17 Tm 0.116 0.231 0.319
18 Tm 0.887 0.773 0.235

## Properties
Space-group type = No. 36
DFT formation energy = 0.152 eV per atom

***

# 13
First-principles (PBE) data for a relaxed MgCuSb crystal, as listed in Alexandria via LeMat-Bulk.

Cell: 4.300 7.487 4.509 Å, 103.44 61.58 106.48°
Sites, in units of the cell vectors:
1 Sb 0.636 0.178 0.600
2 Sb 0.158 0.645 0.017
3 Mg 0.397 0.411 0.308
4 Mg 0.897 0.911 0.809
5 Cu 0.257 0.033 0.214
6 Cu 0.537 0.790 0.403

## Properties
Raw formation energy = -0.17 eV/atom
Space-group type = No. 2

***

# 14
First-principles (PBE) data for a relaxed KRb3Ag2H6 crystal, as listed in Alexandria via LeMat-Bulk.

Cell: 6.481 6.481 7.612 Å, 90.00 90.00 120.00°
Sites, in units of the cell vectors:
1 K 0.000 0.000 0.500
2 Rb 0.333 0.667 0.725
3 Rb 0.667 0.333 0.275
4 Rb 0.000 0.000 0.000
5 Ag 0.667 0.333 0.740
6 Ag 0.333 0.667 0.260
7 H 0.650 0.825 0.264
8 H 0.175 0.350 0.264
9 H 0.175 0.825 0.264
10 H 0.825 0.650 0.736
11 H 0.350 0.175 0.736
12 H 0.825 0.175 0.736

## Properties
Energy = -2.605 eV/atom
Space-group type = No. 164